Record 1
Material: PmPbW
Method: DFT, GGA-PBE
State: relaxed

```
PmPbW
1.0
0.000 3.462 3.462
3.462 0.000 3.462
3.462 3.462 0.000
Pm Pb W
1 1 1
direct
0.000 0.000 0.000
0.500 0.500 0.500
0.750 0.750 0.750
```

Results
E in eV per formula unit: -18.5
Total moment in Bohr magnetons per cell: 1.0
Distance to the lowest polymorph of the same formula in meV/atom: 0

---

Record 2
Material: PmPbW
Method: DFT, GGA-PBE
State: relaxed

```
PmPbW
1.0
0.000 3.582 3.582
3.582 0.000 3.582
3.582 3.582 0.000
Pm Pb W
1 1 1
direct
0.000 0.000 0.000
0.750 0.750 0.750
0.250 0.250 0.250
```

Results
E in eV per formula unit: -17.1
Total moment in Bohr magnetons per cell: 3.2
Distance to the lowest polymorph of the same formula in meV/atom: 455

---

Record 3
Material: PmYPb
Method: DFT, GGA-PBE
State: relaxed

```
PmYPb
1.0
0.000 3.704 3.704
3.704 0.000 3.704
3.704 3.704 0.000
Pm Y Pb
1 1 1
direct
0.000 0.000 0.000
0.500 0.500 0.500
0.250 0.250 0.250
```

Results
E in eV per formula unit: -15.7
Total moment in Bohr magnetons per cell: 0.1
Distance to the lowest polymorph of the same formula in meV/atom: 0

---

Record 4
Material: PmZnPb
Method: DFT, GGA-PBE
State: relaxed

```
PmZnPb
1.0
0.000 3.432 3.432
3.432 0.000 3.432
3.432 3.432 0.000
Pm Zn Pb
1 1 1
direct
0.000 0.000 0.000
0.750 0.750 0.750
0.500 0.500 0.500
```

Results
E in eV per formula unit: -10.6
Total moment in Bohr magnetons per cell: 0.0
Distance to the lowest polymorph of the same formula in meV/atom: 0

---

Record 5
Material: PmZnPb
Method: DFT, GGA-PBE
State: relaxed

```
PmZnPb
1.0
0.000 3.593 3.593
3.593 0.000 3.593
3.593 3.593 0.000
Pm Zn Pb
1 1 1
direct
0.000 0.000 0.000
0.250 0.250 0.250
0.750 0.750 0.750
```

Results
E in eV per formula unit: -9.7
Total moment in Bohr magnetons per cell: 0.0
Distance to the lowest polymorph of the same formula in meV/atom: 292

---

Record 6
Material: Pm3ZrPb5
Method: DFT, GGA-PBE
State: relaxed

```
Pm3ZrPb5
1.0
9.582 0.000 0.000
-4.791 8.298 0.000
0.000 0.000 6.442
Pm Zr Pb
6 2 10
direct
0.000 0.384 0.250
0.000 0.616 0.750
0.384 0.000 0.250
0.384 0.384 0.750
0.616 0.000 0.750
0.616 0.616 0.250
0.000 0.000 0.000
0.000 0.000 0.500
0.000 0.273 0.750
0.000 0.727 0.250
0.273 0.000 0.750
0.273 0.273 0.250
0.333 0.667 0.000
0.333 0.667 0.500
0.667 0.333 0.000
0.667 0.333 0.500
0.727 0.000 0.250
0.727 0.727 0.750
```

Results
E in eV per formula unit: -45.3
Total moment in Bohr magnetons per cell: 0.0

---

Record 7
Material: Pr2Pb
Method: DFT, GGA-PBE
State: relaxed

```
Pr2Pb
1.0
0.000 4.601 4.601
4.601 0.000 4.601
4.601 4.601 0.000
Pr Pb
4 2
direct
0.000 0.000 0.000
0.000 0.000 0.500
0.000 0.500 0.000
0.500 0.000 0.000
0.375 0.375 0.375
0.625 0.625 0.625
```

Results
E in eV per formula unit: -13.2
Total moment in Bohr magnetons per cell: 0.0

---

Record 8
Material: Pr5Pb4
Method: DFT, GGA-PBE
State: relaxed

```
Pr5Pb4
1.0
8.484 0.000 0.000
0.000 16.212 0.000
0.000 0.000 8.606
Pr Pb
20 16
direct
0.031 0.102 0.178
0.031 0.398 0.178
0.120 0.618 0.340
0.120 0.882 0.340
0.211 0.250 0.502
0.289 0.750 0.002
0.380 0.118 0.840
0.380 0.382 0.840
0.469 0.602 0.678
0.469 0.898 0.678
0.531 0.102 0.322
0.531 0.398 0.322
0.620 0.618 0.160
0.620 0.882 0.160
0.711 0.250 0.998
0.789 0.750 0.498
0.880 0.118 0.660
0.880 0.382 0.660
0.969 0.602 0.822
0.969 0.898 0.822
0.077 0.250 0.878
0.161 0.750 0.644
0.221 0.043 0.531
0.221 0.457 0.531
0.279 0.543 0.031
0.279 0.957 0.031
0.339 0.250 0.144
0.423 0.750 0.378
0.577 0.250 0.622
0.661 0.750 0.856
0.721 0.043 0.969
0.721 0.457 0.969
0.779 0.543 0.469
0.779 0.957 0.469
0.839 0.250 0.356
0.923 0.750 0.122
```

Results
E in eV per formula unit: -44.0
Total moment in Bohr magnetons per cell: 0.0

---

Record 9
Material: Pr2Pb
Method: DFT, GGA-PBE
State: relaxed

```
Pr2Pb
1.0
0.000 6.966 6.966
6.966 0.000 6.966
6.966 6.966 0.000
Pr Pb
4 2
direct
0.000 0.000 0.000
0.000 0.000 0.500
0.000 0.500 0.000
0.500 0.000 0.000
0.125 0.125 0.125
0.875 0.875 0.875
```

Results
E in eV per formula unit: -9.4
Total moment in Bohr magnetons per cell: 2.0

---

Record 10
Material: PrPt4Pb6
Method: DFT, GGA-PBE
State: relaxed

```
PrPt4Pb6
1.0
-3.760 3.760 5.136
3.760 -3.760 5.136
3.760 3.760 -5.136
Pr Pt Pb
1 4 6
direct
0.000 0.000 0.000
0.182 0.182 0.544
0.362 0.818 0.000
0.638 0.638 0.456
0.818 0.362 0.000
0.000 0.500 0.500
0.172 0.475 0.000
0.475 0.172 0.000
0.500 0.000 0.500
0.525 0.525 0.698
0.828 0.828 0.302
```

Results
E in eV per formula unit: -54.1
Total moment in Bohr magnetons per cell: 0.0

---

Record 11
Material: Pr3SnPt3Pb2
Method: DFT, GGA-PBE
State: relaxed

```
Pr3SnPt3Pb2
1.0
4.174 0.000 0.000
0.000 6.778 3.879
0.000 -6.778 3.879
Pr Sn Pt Pb
3 1 3 2
direct
0.000 0.000 0.000
0.000 0.413 0.822
0.000 0.822 0.413
0.500 0.665 0.665
0.000 0.425 0.425
0.500 0.066 0.741
0.500 0.741 0.066
0.500 0.157 0.412
0.500 0.412 0.157
```

Results
E in eV per formula unit: -52.0
Total moment in Bohr magnetons per cell: 0.0

---

Record 12
Material: RbPr5Pb2
Method: DFT, GGA-PBE
State: relaxed

```
RbPr5Pb2
1.0
7.389 0.000 0.000
0.000 7.389 0.000
0.000 0.000 5.271
Rb Pr Pb
1 5 2
direct
0.000 0.000 0.000
0.000 0.000 0.500
0.284 0.284 0.000
0.284 0.716 0.000
0.716 0.284 0.000
0.716 0.716 0.000
0.000 0.500 0.500
0.500 0.000 0.500
```

Results
E in eV per formula unit: -27.5
Total moment in Bohr magnetons per cell: 0.0

---

Record 13
Material: RbPrPb
Method: DFT, GGA-PBE
State: relaxed

```
RbPrPb
1.0
0.000 3.915 3.915
3.915 0.000 3.915
3.915 3.915 0.000
Rb Pr Pb
1 1 1
direct
0.000 0.000 0.000
0.750 0.750 0.750
0.500 0.500 0.500
```

Results
E in eV per formula unit: -8.9
Total moment in Bohr magnetons per cell: 0.0

---

Record 14
Material: RbPrPbS3
Method: DFT, GGA-PBE
State: relaxed

```
RbPrPbS3
1.0
2.108 -8.757 0.000
2.108 8.757 0.000
0.000 0.000 11.857
Rb Pr Pb S
2 2 2 6
direct
0.158 0.842 0.750
0.842 0.158 0.250
0.500 0.500 0.000
0.500 0.500 0.500
0.108 0.892 0.250
0.892 0.108 0.750
0.109 0.891 0.008
0.109 0.891 0.492
0.497 0.503 0.750
0.503 0.497 0.250
0.891 0.109 0.508
0.891 0.109 0.992
```

Results
E in eV per formula unit: -29.3
Total moment in Bohr magnetons per cell: 0.0

---

Record 15
Material: RbPrPbSe3
Method: DFT, GGA-PBE
State: relaxed

```
RbPrPbSe3
1.0
2.187 -8.667 0.000
2.187 8.667 0.000
0.000 0.000 12.350
Rb Pr Pb Se
2 2 2 6
direct
0.175 0.825 0.750
0.825 0.175 0.250
0.500 0.500 0.000
0.500 0.500 0.500
0.098 0.902 0.250
0.902 0.098 0.750
0.117 0.883 0.011
0.117 0.883 0.489
0.488 0.512 0.250
0.512 0.488 0.750
0.883 0.117 0.511
0.883 0.117 0.989
```

Results
E in eV per formula unit: -27.0
Total moment in Bohr magnetons per cell: 0.0

---

Record 16
Material: PrPbS3
Method: DFT, GGA-PBE
State: relaxed

```
PrPbS3
1.0
11.614 0.000 0.000
0.000 4.009 0.000
0.000 0.000 11.099
Pr Pb S
4 4 12
direct
0.170 0.250 0.032
0.330 0.750 0.532
0.670 0.250 0.468
0.830 0.750 0.968
0.025 0.250 0.337
0.475 0.750 0.837
0.525 0.250 0.163
0.975 0.750 0.663
0.070 0.750 0.889
0.144 0.250 0.557
0.172 0.750 0.243
0.328 0.250 0.743
0.356 0.750 0.057
0.430 0.250 0.389
0.570 0.750 0.611
0.644 0.250 0.943
0.672 0.750 0.257
0.828 0.250 0.757
0.856 0.750 0.443
0.930 0.250 0.111
```

Results
E in eV per formula unit: -26.2
Total moment in Bohr magnetons per cell: 0.0

---

Record 17
Material: PrPb2S3
Method: DFT, GGA-PBE
State: relaxed

```
PrPb2S3
1.0
4.072 0.000 0.000
-2.036 3.526 0.000
0.000 0.000 11.630
Pr Pb S
1 2 3
direct
0.000 0.000 0.000
0.333 0.667 0.659
0.667 0.333 0.341
0.000 0.000 0.500
0.333 0.667 0.138
0.667 0.333 0.862
```

Results
E in eV per formula unit: -30.5
Total moment in Bohr magnetons per cell: 0.0

---

Record 18
Material: PrSnPbS3
Method: DFT, GGA-PBE
State: relaxed

```
PrSnPbS3
1.0
2.029 -7.334 0.000
2.029 7.334 0.000
0.000 0.000 11.416
Pr Sn Pb S
2 2 2 6
direct
0.000 0.000 0.000
0.000 0.000 0.500
0.352 0.648 0.750
0.648 0.352 0.250
0.342 0.658 0.250
0.658 0.342 0.750
0.008 0.992 0.250
0.366 0.634 0.506
0.366 0.634 0.994
0.634 0.366 0.006
0.634 0.366 0.494
0.992 0.008 0.750
```

Results
E in eV per formula unit: -30.4
Total moment in Bohr magnetons per cell: 0.0

---

Record 19
Material: PrSbPbSe3
Method: DFT, GGA-PBE
State: relaxed

```
PrSbPbSe3
1.0
2.259 -7.671 0.000
2.259 7.671 0.000
0.000 0.000 9.998
Pr Sb Pb Se
2 2 2 6
direct
0.000 0.000 0.000
0.000 0.000 0.500
0.467 0.533 0.750
0.533 0.467 0.250
0.246 0.754 0.250
0.754 0.246 0.750
0.135 0.865 0.750
0.366 0.634 0.533
0.366 0.634 0.967
0.634 0.366 0.033
0.634 0.366 0.467
0.865 0.135 0.250
```

Results
E in eV per formula unit: -27.5
Total moment in Bohr magnetons per cell: 0.0

---

Record 20
Material: PrSnPbSe3
Method: DFT, GGA-PBE
State: relaxed

```
PrSnPbSe3
1.0
2.164 -7.469 0.000
2.164 7.469 0.000
0.000 0.000 10.643
Pr Sn Pb Se
2 2 2 6
direct
0.000 0.000 0.000
0.000 0.000 0.500
0.453 0.547 0.750
0.547 0.453 0.250
0.256 0.744 0.250
0.744 0.256 0.750
0.112 0.888 0.750
0.356 0.644 0.532
0.356 0.644 0.968
0.644 0.356 0.032
0.644 0.356 0.468
0.888 0.112 0.250
```

Results
E in eV per formula unit: -27.6
Total moment in Bohr magnetons per cell: 0.0